(1)
# K PBE optimized geometry
# Calculated formation energy (meV per atom): 4
# Relative energy among the computed polymorphs (meV/atom): 4
# E (eV for the cell shown): -2.19
# DOS(E_F) (states/eV per cell): 1.9
data_K
_chemical_formula_sum 'K2'
_symmetry_space_group_name_H-M 'I m -3 m'
_symmetry_Int_Tables_number 229
_symmetry_space_group_name_Hall '-I 4 2 3'
_cell_length_a 5.239
_cell_length_b 5.239
_cell_length_c 5.239
_cell_angle_alpha 90.00
_cell_angle_beta 90.00
_cell_angle_gamma 90.00
loop_
_atom_site_label
_atom_site_type_symbol
_atom_site_fract_x
_atom_site_fract_y
_atom_site_fract_z
K1 K 0.000 0.000 0.000

(2)
# K PBE optimized geometry
# Calculated formation energy (meV per atom): 110
# Relative energy among the computed polymorphs (meV/atom): 110
# E (eV for the cell shown): -4.94
# DOS(E_F) (states/eV per cell): 3.3
data_K
_chemical_formula_sum 'K5'
_symmetry_space_group_name_H-M 'P 4/m m m'
_symmetry_Int_Tables_number 123
_symmetry_space_group_name_Hall '-P 4 2'
_cell_length_a 6.029
_cell_length_b 6.029
_cell_length_c 11.250
_cell_angle_alpha 90.00
_cell_angle_beta 90.00
_cell_angle_gamma 90.00
loop_
_atom_site_label
_atom_site_type_symbol
_atom_site_fract_x
_atom_site_fract_y
_atom_site_fract_z
K1 K 0.000 0.000 0.000
K2 K 0.000 0.500 0.310

(3)
# K PBE optimized geometry
# Calculated formation energy (meV per atom): 0
# Relative energy among the computed polymorphs (meV/atom): 0
# E (eV for the cell shown): -3.29
# DOS(E_F) (states/eV per cell): 2.3
data_K
_chemical_formula_sum 'K3'
_symmetry_space_group_name_H-M 'P 31 2 1'
_symmetry_Int_Tables_number 152
_symmetry_space_group_name_Hall 'P 31 2"'
_cell_length_a 4.7058
_cell_length_b 4.7058
_cell_length_c 11.2628
_cell_angle_alpha 90.00
_cell_angle_beta 90.00
_cell_angle_gamma 120.00
loop_
_atom_site_label
_atom_site_type_symbol
_atom_site_fract_x
_atom_site_fract_y
_atom_site_fract_z
K1 K 0.0000 0.6730 0.1667

(4)
# K PBE optimized geometry
# Calculated formation energy (meV per atom): 12
# Relative energy among the computed polymorphs (meV/atom): 12
# E (eV for the cell shown): -8.68
# DOS(E_F) (states/eV per cell): 5.6
data_K
_chemical_formula_sum 'K8'
_symmetry_space_group_name_H-M 'P m -3 n'
_symmetry_Int_Tables_number 223
_symmetry_space_group_name_Hall '-P 4n 2 3'
_cell_length_a 8.330
_cell_length_b 8.330
_cell_length_c 8.330
_cell_angle_alpha 90.00
_cell_angle_beta 90.00
_cell_angle_gamma 90.00
loop_
_atom_site_label
_atom_site_type_symbol
_atom_site_fract_x
_atom_site_fract_y
_atom_site_fract_z
K1 K 0.000 0.000 0.000
K2 K 0.000 0.250 0.500

The highest calculated formation energy belongs to which entry?
number 2